First-principles (GGA-PBE) data for a relaxed Cs3PaTe2O8 crystal, as listed in the Alexandria database.

The structure belongs to space group P-3m1 (No. 164); the cell edges are 6.6290, 6.6290 and 8.4283 Å and the angles 90.00°, 90.00° and 120.00°. The distinct sites, in fractional coordinates, are Cs at (0.0000, 0.0000, 0.0000), Cs at (0.3333, 0.6667, 0.7900), Pa at (0.0000, 0.0000, 0.5000), Te at (0.3333, 0.6667, 0.3396), O at (0.1526, 0.3051, 0.3430) and O at (0.3333, 0.6667, 0.1195).

The raw formation energy comes out at -1.893 eV/atom. The crystal system is trigonal. The calculation puts the density at 5.2 g/cm³. The total energy comes out at -84.5 eV per cell.

First-principles (GGA-PBE) data for a relaxed MgTlPtRh crystal, as listed in the Alexandria database.

The structure belongs to space group F-43m (No. 216); the cell edges are 6.497, 6.497 and 6.497 Å and the angles 90.00°, 90.00° and 90.00°. The distinct sites, in fractional coordinates, are Mg at (0.000, 0.000, 0.000), Tl at (0.000, 0.000, 0.500), Pt at (0.250, 0.250, 0.750) and Rh at (0.250, 0.250, 0.250).

The crystal system is cubic. The calculation puts the density at 12.8 g/cm³. The total energy comes out at -74.5 eV per cell.

First-principles (GGA-PBE) data for a relaxed Dy2Al9Pd6 crystal, as listed in the Alexandria database.

The structure belongs to space group P6/mmm (No. 191); the cell edges are 5.3899, 5.3899 and 12.6009 Å and the angles 90.00°, 90.00° and 120.00°. The distinct sites, in fractional coordinates, are Dy at (0.0000, 0.0000, 0.1548), Al at (0.0000, 0.5000, 0.0000), Al at (0.0000, 0.5000, 0.3381), Pd at (0.3333, 0.6667, 0.1713) and Pd at (0.3333, 0.6667, 0.5000).

The crystal system is hexagonal. The calculation puts the density at 6.3 g/cm³. The total energy comes out at -85.1 eV per cell.

First-principles (GGA-PBE) data for a relaxed HfZnGe crystal, as listed in the Alexandria database.

The structure belongs to space group P3m1 (No. 156); the cell edges are 4.0822, 4.0822 and 3.5844 Å and the angles 90.00°, 90.00° and 120.00°. The distinct sites, in fractional coordinates, are Hf at (0.0000, 0.0000, 0.0000), Zn at (0.6667, 0.3333, 0.4870) and Ge at (0.3333, 0.6667, 0.5096).

The crystal system is trigonal. The calculation puts the density at 10.2 g/cm³. The total energy comes out at -16.7 eV per cell.

First-principles (GGA-PBE) data for a relaxed Na2Cd2SnAu5 crystal, as listed in the Alexandria database.

The structure belongs to space group P4/mbm (No. 127); the cell edges are 10.807, 10.807 and 3.838 Å and the angles 90.00°, 90.00° and 90.00°. The distinct sites, in fractional coordinates, are Na at (0.169, 0.331, 0.000), Cd at (0.131, 0.631, 0.000), Sn at (0.000, 0.000, 0.000), Au at (0.000, 0.500, 0.500) and Au at (0.052, 0.805, 0.500).

The crystal system is tetragonal. The calculation puts the density at 10.2 g/cm³. The total energy comes out at -53.5 eV per cell.

First-principles (GGA-PBE) data for a relaxed Cu2AsSe crystal, as listed in the Alexandria database.

The structure belongs to space group F-43m (No. 216); the cell edges are 6.404, 6.404 and 6.404 Å and the angles 90.00°, 90.00° and 90.00°. The distinct sites, in fractional coordinates, are Cu at (0.000, 0.000, 0.000), Cu at (0.250, 0.250, 0.250), As at (0.250, 0.250, 0.750) and Se at (0.000, 0.000, 0.500).

The raw formation energy comes out at 0.489 eV/atom. The crystal system is cubic. The calculation puts the density at 7.1 g/cm³. The total energy comes out at -57.5 eV per cell.

First-principles (GGA-PBE) data for a relaxed AcHg2Ge crystal, as listed in the Alexandria database.

The structure belongs to space group Cmcm (No. 63); the cell edges are 4.724, 18.319 and 9.951 Å and the angles 90.00°, 90.00° and 90.00°. The distinct sites, in fractional coordinates, are Ac at (0.000, 0.000, 0.000), Ac at (0.000, 0.200, 0.250), Hg at (0.000, 0.192, 0.600), Hg at (0.000, 0.402, 0.250), Hg at (0.000, 0.445, 0.750) and Ge at (0.000, 0.357, 0.528).

The crystal system is orthorhombic. The calculation puts the density at 10.8 g/cm³. The total energy comes out at -86.6 eV per cell.

First-principles (GGA-PBE) data for a relaxed YAgPbI6 crystal, as listed in the Alexandria database.

The structure belongs to space group P-31c (No. 163); the cell edges are 7.7344, 7.7344 and 14.3150 Å and the angles 90.00°, 90.00° and 120.00°. The distinct sites, in fractional coordinates, are Y at (0.3333, 0.6667, 0.2500), Ag at (0.3333, 0.6667, 0.7500), Pb at (0.0000, 0.0000, 0.0000) and I at (0.0014, 0.3515, 0.1284).

The raw formation energy comes out at -0.840 eV/atom. The crystal system is trigonal. The calculation puts the density at 5.2 g/cm³. The total energy comes out at -59.8 eV per cell.

First-principles (GGA-PBE) data for a relaxed TlSbPd2 crystal, as listed in the Alexandria database.

The structure belongs to space group P4/mmm (No. 123); the cell edges are 3.409, 3.409 and 6.863 Å and the angles 90.00°, 90.00° and 90.00°. The distinct sites, in fractional coordinates, are Tl at (0.000, 0.000, 0.000), Sb at (0.000, 0.000, 0.500) and Pd at (0.500, 0.500, 0.272).

The raw formation energy comes out at -0.184 eV/atom. For the polymorph energy (0 for the lowest one), the calculation gives 0.142 eV per atom. The crystal system is tetragonal. The calculation puts the density at 11.2 g/cm³. The total energy comes out at -17.6 eV per cell.